Here is a geometry-optimized ZrAsRu2 structure from Alexandria. Energies are from PBE-GGA.

Summary:
- calculated volume (Å³ per atom) = 16.37
- M_tot (μB/atom) = 0.00
- DOS at the Fermi energy (states/eV/cell) = 4.0
- energy of formation from the pure elements (eV per atom) = -0.159

The structure in extended XYZ format:
```
4
Lattice="3.070 0.000 0.000 0.000 3.070 0.000 0.000 0.000 6.946" Properties=species:S:1:pos:R:3 pbc="T T T"
Ru 0.000 0.000 6.788
Ru 1.535 1.535 1.678
As 1.535 1.535 5.505
Zr 0.000 0.000 3.395
```